Model 1:
This record from the Alexandria database describes a relaxed Zr2AlAs crystal. The functional is PBE.

- magnetic moment (μB/cell) = 0.00

Cell: 4.795 4.795 4.795 Å, 60.00 60.00 60.00°
Fractional positions:
Al 0.000 0.000 0.000
Zr 0.250 0.250 0.250
As 0.500 0.500 0.500
Zr 0.750 0.750 0.750

Model 2:
This record from the Alexandria database describes a relaxed Zr2AlAs crystal. The functional is PBE.

- magnetic moment (μB/cell) = 0.00

Cell: 3.907 3.816 5.462 Å, 69.57 90.00 90.00°
Fractional positions:
Zr 0.500 0.270 0.336
Zr 0.000 0.977 0.922
As 0.500 0.544 0.786
Al 0.000 0.710 0.456

So which one is most stable? That would be model 2, about 41.7 kJ/mol of atoms below the next structure.

Model 1:
This record from the Alexandria database describes a relaxed Zr2AlAs crystal. The functional is PBE.

- magnetic moment (μB/cell) = 0.00

Cell: 5.843 5.843 7.990 Å, 68.56 68.56 90.00°
Fractional positions:
Zr 0.375 0.359 0.750
Zr 0.641 0.125 0.250
Zr 0.109 0.625 0.250
Al 0.500 0.500 0.000
Zr 0.875 0.891 0.750
As 0.750 0.250 0.500
Al 0.250 0.750 0.500
As 0.000 0.000 0.000

Model 2:
This record from the Alexandria database describes a relaxed Zr2AlAs crystal. The functional is PBE.

- magnetic moment (μB/cell) = 0.00

Cell: 5.538 5.538 5.533 Å, 137.30 137.29 61.91°
Fractional positions:
As 0.250 0.750 0.500
Zr 0.000 0.000 0.000
Zr 0.750 0.250 0.500
Al 0.500 0.500 0.000

Model 3:
This record from the Alexandria database describes a relaxed Zr2AlAs crystal. The functional is PBE.

- magnetic moment (μB/cell) = 0.00

Cell: 3.200 3.200 7.842 Å, 90.00 90.00 101.64°
Fractional positions:
Zr 0.000 0.000 0.988
As 0.500 0.500 0.750
Zr 0.000 0.000 0.512
Al 0.500 0.500 0.250

So which one is most stable? That would be model 3, about 2.0 kJ/mol of atoms below the next structure.

Model 1:
This record from the Alexandria database describes a relaxed Zr2AlAs crystal. The functional is PBE.

- magnetic moment (μB/cell) = 0.00

Cell: 7.406 7.406 7.406 Å, 28.95 28.95 28.95°
Fractional positions:
Zr 0.007 0.007 0.007
As 0.750 0.750 0.750
Al 0.250 0.250 0.250
Zr 0.493 0.493 0.493

Model 2:
This record from the Alexandria database describes a relaxed Zr2AlAs crystal. The functional is PBE.

- magnetic moment (μB/cell) = 0.00

Cell: 3.393 3.393 6.883 Å, 90.00 90.00 90.00°
Fractional positions:
Zr 0.500 0.500 0.271
As 0.500 0.500 0.737
Al 0.000 0.000 0.531
Zr 0.000 0.000 0.961

Model 3:
This record from the Alexandria database describes a relaxed Zr2AlAs crystal. The functional is PBE.

- magnetic moment (μB/cell) = 0.00

Cell: 3.978 4.383 4.383 Å, 90.00 90.00 90.00°
Fractional positions:
Zr 0.000 0.000 0.000
Zr 0.000 0.500 0.500
Al 0.500 0.500 0.000
As 0.500 0.000 0.500

Model 4:
This record from the Alexandria database describes a relaxed Zr2AlAs crystal. The functional is PBE.

- magnetic moment (μB/cell) = 0.00

Cell: 4.797 4.797 4.797 Å, 60.00 60.00 60.00°
Fractional positions:
Al 0.500 0.500 0.500
Zr 0.250 0.250 0.250
Zr 0.000 0.000 0.000
As 0.750 0.750 0.750

So which one is most stable? That would be model 1, about 12.4 kJ/mol of atoms below the next structure.

Model 1:
This record from the Alexandria database describes a relaxed Zr2AlAs crystal. The functional is PBE.

- magnetic moment (μB/cell) = 0.00

Cell: 5.083 5.083 5.083 Å, 129.19 129.19 74.70°
Fractional positions:
Al 0.250 0.750 0.500
Zr 0.000 0.000 0.000
As 0.750 0.250 0.500
Zr 0.500 0.500 0.000

Model 2:
This record from the Alexandria database describes a relaxed Zr2AlAs crystal. The functional is PBE.

- magnetic moment (μB/cell) = 0.00

Cell: 4.947 4.947 3.339 Å, 82.89 82.89 102.74°
Fractional positions:
As 0.000 0.500 0.500
Al 0.500 0.000 0.500
Zr 0.500 0.500 0.000
Zr 0.000 0.000 0.000

Model 3:
This record from the Alexandria database describes a relaxed Zr2AlAs crystal. The functional is PBE.

- magnetic moment (μB/cell) = 0.00

Cell: 3.905 3.905 5.502 Å, 90.00 90.00 90.00°
Fractional positions:
Zr 0.000 0.000 0.875
Zr 0.500 0.500 0.375
Al 0.000 0.000 0.375
As 0.500 0.500 0.875

So which one is most stable? That would be model 3, about 6.3 kJ/mol of atoms below the next structure.

Model 1:
This record from the Alexandria database describes a relaxed Zr2AlAs crystal. The functional is PBE.

- magnetic moment (μB/cell) = 0.00

Cell: 8.379 8.379 8.379 Å, 24.14 24.14 24.14°
Fractional positions:
Zr 0.248 0.248 0.248
As 0.755 0.755 0.755
Zr 0.012 0.012 0.012
Al 0.485 0.485 0.485

Model 2:
This record from the Alexandria database describes a relaxed Zr2AlAs crystal. The functional is PBE.

- magnetic moment (μB/cell) = 0.00

Cell: 3.887 3.220 6.568 Å, 71.76 90.00 90.00°
Fractional positions:
As 0.500 0.750 0.750
Al 0.500 0.250 0.250
Zr 0.000 0.956 0.995
Zr 0.000 0.544 0.505

So which one is most stable? That would be model 2, about 38.7 kJ/mol of atoms below the next structure.

Model 1:
This record from the Alexandria database describes a relaxed AlAu4 crystal. The functional is PBE.

- magnetic moment (μB/cell) = 0.00

Cell: 7.557 7.557 7.557 Å, 151.02 151.02 41.45°
Fractional positions:
Au 0.406 0.406 0.000
Al 0.000 0.000 0.000
Au 0.594 0.594 0.000
Au 0.250 0.750 0.500
Au 0.750 0.250 0.500

Model 2:
This record from the Alexandria database describes a relaxed AlAu4 crystal. The functional is PBE.

- magnetic moment (μB/cell) = 0.00

Cell: 4.306 4.308 10.045 Å, 90.00 90.00 90.00°
Fractional positions:
Al 0.000 0.500 0.500
Au 0.000 0.500 0.147
Au 0.500 0.000 0.146
Au 0.500 0.000 0.854
Au 0.000 0.000 0.647
Al 0.000 0.000 0.000
Au 0.500 0.500 0.354
Au 0.000 0.500 0.853
Au 0.000 0.000 0.353
Au 0.500 0.500 0.646

So which one is most stable? That would be model 2, about 26.1 kJ/mol of atoms below the next structure.